Model w:
A plane-wave DFT calculation with PBE-GGA was carried out for a geometry-optimized Mg6Zn2Ir structure.

Volume = 166.6 Å³ per cell
Magnetization = 0.00 μB/cell

Geometry as extended XYZ:
```
9
Lattice="4.3303 0.0000 0.0000 -2.1651 4.5311 0.5682 0.0000 1.2043 8.6428" Properties=species:S:1:pos:R:3 pbc="T T T"
Mg 2.1651 2.6632 8.4020
Mg 0.0000 3.0721 0.8090
Mg 2.1651 4.6462 2.2186
Mg 0.0000 3.3945 3.8518
Mg 0.0000 1.0892 6.9925
Mg 2.1651 2.3408 5.3593
Zn 0.0000 4.1327 6.4757
Zn 2.1651 1.6026 2.7354
Ir 0.0000 0.6021 4.3214
```

Model x:
A plane-wave DFT calculation with PBE-GGA was carried out for a geometry-optimized Mg6Zn2Ir structure.

Volume = 198.6 Å³ per cell
Magnetization = 0.00 μB/cell

Geometry as extended XYZ:
```
9
Lattice="-4.0705 -1.8785 -0.1268 2.3890 -5.3617 2.7416 -0.5141 6.1811 4.8816" Properties=species:S:1:pos:R:3 pbc="T T T"
Mg 0.1412 -0.4731 2.6151
Mg -3.5825 2.2096 3.4518
Mg -2.3369 -0.5861 4.8814
Mg -1.4855 -2.1730 0.5675
Mg 1.3869 -3.2688 4.0446
Mg -0.1960 -5.0672 2.0474
Zn -1.2967 -2.7602 3.3864
Zn -0.8989 1.7011 4.1101
Ir 0.0000 0.0000 0.0000
```

Which of them is the most stable, and which is the least stable? model w and model x, in that order.

Model w:
A plane-wave DFT calculation with PBE-GGA was carried out for a geometry-optimized Mg3ZnIr structure.

Volume = 389.9 Å³ per cell
Magnetization = 0.00 μB/cell

Geometry as extended XYZ:
```
20
Lattice="6.7696 0.0000 0.0000 0.0000 6.5155 -1.1066 0.0000 0.0342 8.8338" Properties=species:S:1:pos:R:3 pbc="T T T"
Mg 6.6546 1.4062 2.0157
Mg 0.1149 5.1434 5.7115
Mg 3.2698 5.1264 1.2946
Mg 3.4997 1.4233 6.4326
Mg 3.0819 1.9772 3.0792
Mg 3.6877 4.5724 4.6480
Mg 6.4666 4.5553 0.2311
Mg 0.3029 1.9943 7.4961
Mg 5.8410 2.3779 4.7243
Mg 0.9286 4.1718 3.0029
Mg 2.4562 4.1888 7.4198
Mg 4.3134 2.3608 0.3074
Zn 5.5410 6.1118 2.9034
Zn 1.2286 0.4378 4.8238
Zn 2.1562 0.4207 0.4069
Zn 4.6133 6.1289 7.3203
Ir 1.7452 2.8772 0.8175
Ir 5.0243 3.6725 6.9097
Ir 5.1300 3.6554 2.4928
Ir 1.6396 2.8943 5.2344
```

Model x:
A plane-wave DFT calculation with PBE-GGA was carried out for a geometry-optimized Mg3ZnIr structure.

Volume = 385.6 Å³ per cell
Magnetization = 0.00 μB/cell

Geometry as extended XYZ:
```
20
Lattice="5.6989 -1.0836 -0.8105 -1.1254 9.0125 1.2559 -1.1254 3.7509 8.2906" Properties=species:S:1:pos:R:3 pbc="T T T"
Mg 3.0867 10.2153 8.1428
Mg 3.2108 0.4411 0.8321
Mg 0.3614 1.4645 0.5933
Mg 0.2372 11.2388 7.9040
Mg 2.4544 6.9996 7.9783
Mg 3.8431 1.5074 3.8703
Mg 0.9937 4.6802 0.7578
Mg -0.3950 10.1725 4.8658
Mg 2.0786 7.3044 4.9628
Mg 4.2189 4.3139 2.7260
Mg 1.3695 4.3755 3.7733
Mg -0.7708 7.3660 6.0100
Zn 0.2993 7.4288 2.8085
Zn 3.1488 4.2511 5.9275
Zn 0.2993 4.7979 6.3259
Zn 3.1488 6.8819 2.4102
Ir 4.0089 8.4891 6.3496
Ir 2.2886 2.6489 1.9814
Ir -0.5608 3.1908 2.3864
Ir 1.1594 9.0310 6.7547
```

Model y:
A plane-wave DFT calculation with PBE-GGA was carried out for a geometry-optimized Mg3ZnIr structure.

Volume = 123.6 Å³ per cell
Magnetization = 0.00 μB/cell

Geometry as extended XYZ:
```
5
Lattice="4.9817 0.0000 0.0000 0.0000 4.9817 0.0000 0.0000 0.0000 4.9817" Properties=species:S:1:pos:R:3 pbc="T T T"
Zn 2.4908 2.4908 2.4908
Ir 0.0000 0.0000 0.0000
Mg 0.0000 2.4908 0.0000
Mg 0.0000 0.0000 2.4908
Mg 2.4908 0.0000 0.0000
```

Model z:
A plane-wave DFT calculation with PBE-GGA was carried out for a geometry-optimized Mg3ZnIr structure.

Volume = 104.7 Å³ per cell
Magnetization = 0.00 μB/cell

Geometry as extended XYZ:
```
5
Lattice="-2.0663 3.9718 1.4718 -2.0480 0.4967 -4.2155 -3.7078 -2.4878 1.5082" Properties=species:S:1:pos:R:3 pbc="T T T"
Zn 0.0000 0.0000 0.0000
Ir -3.9110 0.9904 -0.6178
Mg -1.0240 0.2483 -2.1078
Mg -1.8539 -1.2439 0.7541
Mg -1.0332 1.9859 0.7359
```

Which of them is the most stable, and which is the least stable? model w and model z, in that order.

Model w:
A plane-wave DFT calculation with PBE-GGA was carried out for a geometry-optimized Mg2Zn3Ir structure.

Volume = 122.1 Å³ per cell
Magnetization = 0.00 μB/cell

Geometry as extended XYZ:
```
6
Lattice="4.5040 0.0000 0.0000 0.0000 4.9111 0.0000 -2.2520 -2.4555 5.5182" Properties=species:S:1:pos:R:3 pbc="T T T"
Mg 2.2520 0.0000 2.7837
Mg 0.0000 2.4555 2.7345
Zn 0.0000 0.0000 4.2816
Zn 0.0000 0.0000 0.0000
Zn 2.2520 2.4555 1.2366
Ir 0.0000 2.4555 0.0000
```

Model x:
A plane-wave DFT calculation with PBE-GGA was carried out for a geometry-optimized Mg2Zn3Ir structure.

Volume = 97.0 Å³ per cell
Magnetization = 0.00 μB/cell

Geometry as extended XYZ:
```
6
Lattice="4.5169 -0.1249 -2.3813 -2.8639 4.2235 -0.2213 -0.1555 0.1555 5.1996" Properties=species:S:1:pos:R:3 pbc="T T T"
Mg 2.2525 1.4763 -1.2980
Mg -0.7549 2.7778 3.8951
Zn 0.7488 2.1270 1.2985
Zn -0.0777 0.0777 2.5998
Zn 2.1807 0.0153 1.4092
Ir 0.0000 0.0000 0.0000
```

Which of them is the most stable, and which is the least stable? model x and model w, in that order.

Model w:
A plane-wave DFT calculation with PBE-GGA was carried out for a geometry-optimized Mg2ZrIr2 structure.

Volume = 94.7 Å³ per cell
Magnetization = 0.00 μB/cell

Geometry as extended XYZ:
```
5
Lattice="-2.9974 -0.5272 0.7456 -0.1897 -2.1547 -2.2862 2.6440 -7.8904 5.0507" Properties=species:S:1:pos:R:3 pbc="T T T"
Mg 1.6828 -5.4992 2.8769
Mg 0.7716 -4.5459 -0.1124
Zr 0.0000 0.0000 0.0000
Ir -1.1020 -2.5636 0.3412
Ir 0.5589 -8.0087 3.1688
```

Model x:
A plane-wave DFT calculation with PBE-GGA was carried out for a geometry-optimized Mg2ZrIr2 structure.

Volume = 173.7 Å³ per cell
Magnetization = 0.00 μB/cell

Geometry as extended XYZ:
```
10
Lattice="7.5152 0.0000 0.0000 0.0000 7.5152 0.0000 0.0000 0.0000 3.0754" Properties=species:S:1:pos:R:3 pbc="T T T"
Mg 1.0109 4.7685 1.5377
Mg 4.7685 6.5043 1.5377
Mg 6.5043 2.7467 1.5377
Mg 2.7467 1.0109 1.5377
Ir 2.5239 6.2815 0.0000
Ir 6.2815 4.9913 0.0000
Ir 4.9913 1.2337 0.0000
Ir 1.2337 2.5239 0.0000
Zr 0.0000 0.0000 0.0000
Zr 3.7576 3.7576 0.0000
```

Which of them is the most stable, and which is the least stable? model w and model x, in that order.

Model w:
A plane-wave DFT calculation with PBE-GGA was carried out for a geometry-optimized MgZrIr3 structure.

Volume = 115.7 Å³ per cell
Magnetization = 0.00 μB/cell

Geometry as extended XYZ:
```
5
Lattice="4.8724 0.0000 0.0000 0.0000 4.8724 0.0000 0.0000 0.0000 4.8724" Properties=species:S:1:pos:R:3 pbc="T T T"
Mg 2.4362 2.4362 2.4362
Ir 0.0000 2.4362 0.0000
Ir 0.0000 0.0000 2.4362
Ir 2.4362 0.0000 0.0000
Zr 0.0000 0.0000 0.0000
```

Model x:
A plane-wave DFT calculation with PBE-GGA was carried out for a geometry-optimized MgZrIr3 structure.

Volume = 89.5 Å³ per cell
Magnetization = 0.00 μB/cell

Geometry as extended XYZ:
```
5
Lattice="-1.6908 -4.1383 -0.1615 3.8280 -1.4951 -1.7666 1.5803 -0.8059 4.1065" Properties=species:S:1:pos:R:3 pbc="T T T"
Mg 0.0000 0.0000 0.0000
Ir 1.9140 -0.7476 -0.8833
Ir 0.7902 -0.4030 2.0532
Ir -0.8454 -2.0691 -0.0807
Zr 1.8588 -3.2197 1.0892
```

Which of them is the most stable, and which is the least stable? model x and model w, in that order.

Model w:
A plane-wave DFT calculation with PBE-GGA was carried out for a geometry-optimized MnIr4 structure.

Volume = 83.4 Å³ per cell
Magnetization = 1.12 μB/cell

Geometry as extended XYZ:
```
5
Lattice="-2.7527 2.7527 2.7527 2.7527 -2.7527 2.7527 2.7527 2.7527 -2.7527" Properties=species:S:1:pos:R:3 pbc="T T T"
Mn 0.0000 0.0000 0.0000
Ir 1.3764 -1.3764 1.3764
Ir 1.3764 1.3764 -1.3764
Ir 1.3764 1.3764 1.3764
Ir -1.3764 1.3764 1.3764
```

Model x:
A plane-wave DFT calculation with PBE-GGA was carried out for a geometry-optimized MnIr4 structure.

Volume = 70.8 Å³ per cell
Magnetization = 2.70 μB/cell

Geometry as extended XYZ:
```
5
Lattice="3.8469 0.0000 0.0000 1.9235 4.2908 0.0000 -1.9235 0.0000 4.2908" Properties=species:S:1:pos:R:3 pbc="T T T"
Ir 0.0000 0.8493 2.5725
Ir 1.9235 2.5725 3.4415
Ir 3.8469 3.4415 1.7183
Ir 1.9235 1.7183 0.8493
Mn 0.0000 0.0000 0.0000
```

Model y:
A plane-wave DFT calculation with PBE-GGA was carried out for a geometry-optimized MnIr4 structure.

Volume = 90.5 Å³ per cell
Magnetization = 4.47 μB/cell

Geometry as extended XYZ:
```
5
Lattice="4.7061 0.0000 0.0005 -2.3533 4.0876 -2.3533 0.0005 0.0000 4.7061" Properties=species:S:1:pos:R:3 pbc="T T T"
Mn 0.0000 0.0000 0.0000
Ir 0.0003 2.0438 2.3531
Ir 2.3531 2.0438 0.0003
Ir 2.3533 1.2168 2.3533
Ir 0.0000 2.8707 0.0000
```

Which of them is the most stable, and which is the least stable? model x and model w, in that order.

Model w:
A plane-wave DFT calculation with PBE-GGA was carried out for a geometry-optimized MnIr4 structure.

Volume = 82.5 Å³ per cell
Magnetization = 3.76 μB/cell

Geometry as extended XYZ:
```
5
Lattice="-1.8219 1.8219 6.2163 1.8219 -1.8219 6.2163 1.8219 1.8219 -6.2163" Properties=species:S:1:pos:R:3 pbc="T T T"
Mn 0.0000 0.0000 0.0000
Ir 1.8219 0.0000 3.1082
Ir 0.0000 0.0000 7.4283
Ir 0.0000 0.0000 5.0043
Ir 0.0000 1.8219 3.1082
```

Model x:
A plane-wave DFT calculation with PBE-GGA was carried out for a geometry-optimized MnIr4 structure.

Volume = 84.6 Å³ per cell
Magnetization = 0.00 μB/cell

Geometry as extended XYZ:
```
5
Lattice="4.3895 0.0000 0.0000 0.0000 4.3895 0.0000 0.0000 0.0000 4.3895" Properties=species:S:1:pos:R:3 pbc="T T T"
Mn 2.1948 2.1948 2.1948
Ir 0.0000 0.0000 0.0000
Ir 2.1948 0.0000 2.1948
Ir 0.0000 2.1948 2.1948
Ir 2.1948 2.1948 0.0000
```

Which of them is the most stable, and which is the least stable? model w and model x, in that order.

Model w:
A plane-wave DFT calculation with PBE-GGA was carried out for a geometry-optimized MnIr8 structure.

Volume = 186.4 Å³ per cell
Magnetization = 4.38 μB/cell

Geometry as extended XYZ:
```
9
Lattice="-3.5407 -5.8269 1.5177 2.5981 -2.3921 -6.0266 1.4768 1.5883 6.6399" Properties=species:S:1:pos:R:3 pbc="T T T"
Mn 0.0000 0.0000 0.0000
Ir 2.3661 -1.5686 -3.4060
Ir 1.7088 0.7648 4.0193
Ir -1.3087 -2.6876 5.1726
Ir -0.6220 -2.5774 0.7549
Ir -0.5977 -5.2116 -2.8591
Ir 1.1562 -4.0533 1.3761
Ir -0.7552 -1.5509 2.9850
Ir -0.3449 -3.0074 -1.6499
```

Model x:
A plane-wave DFT calculation with PBE-GGA was carried out for a geometry-optimized MnIr8 structure.

Volume = 128.6 Å³ per cell
Magnetization = 1.18 μB/cell

Geometry as extended XYZ:
```
9
Lattice="-3.6484 -0.9185 0.8299 -2.9107 -1.2228 -5.2068 3.3289 -5.0985 0.0491" Properties=species:S:1:pos:R:3 pbc="T T T"
Ir -1.3296 -2.2861 0.5675
Ir 1.0101 -3.7308 0.3115
Ir 0.1386 -2.0947 -1.7091
Ir -2.1813 -0.7102 -1.4330
Ir -1.1782 -4.4283 -1.1377
Ir -4.3778 -1.4310 -2.9439
Ir 0.2796 -4.2266 -3.4486
Ir -2.0521 -2.8115 -3.1901
Mn 0.0000 0.0000 0.0000
```

Which of them is the most stable, and which is the least stable? model x and model w, in that order.

Model w:
A plane-wave DFT calculation with PBE-GGA was carried out for a geometry-optimized Mn3Ir4 structure.

Volume = 92.2 Å³ per cell
Magnetization = 2.18 μB/cell

Geometry as extended XYZ:
```
7
Lattice="2.3223 -4.0223 0.0000 2.3223 4.0223 0.0000 0.0000 0.0000 4.9379" Properties=species:S:1:pos:R:3 pbc="T T T"
Mn 1.1611 2.0111 0.0000
Mn 2.3223 0.0000 0.0000
Mn 1.1611 -2.0111 0.0000
Ir 0.0000 0.0000 1.2506
Ir 0.0000 0.0000 3.6873
Ir 2.3223 -1.3408 2.4690
Ir 2.3223 1.3408 2.4690
```

Model x:
A plane-wave DFT calculation with PBE-GGA was carried out for a geometry-optimized Mn3Ir4 structure.

Volume = 96.9 Å³ per cell
Magnetization = 7.92 μB/cell

Geometry as extended XYZ:
```
7
Lattice="-1.5720 1.5720 9.7990 1.5720 -1.5720 9.7990 1.5720 1.5720 -9.7990" Properties=species:S:1:pos:R:3 pbc="T T T"
Mn 0.0000 0.0000 0.0000
Mn 0.0000 0.0000 14.0203
Mn 0.0000 0.0000 5.5776
Ir 0.0000 0.0000 16.5663
Ir 0.0000 0.0000 11.1768
Ir 0.0000 0.0000 8.4211
Ir 0.0000 0.0000 3.0316
```

Which of them is the most stable, and which is the least stable? model w and model x, in that order.

Model w:
A plane-wave DFT calculation with PBE-GGA was carried out for a geometry-optimized MnMoIr structure.

Volume = 83.2 Å³ per cell
Magnetization = 0.03 μB/cell

Geometry as extended XYZ:
```
6
Lattice="-2.0138 0.8811 -3.6163 -2.1724 -1.4375 3.3357 -0.7807 5.0363 1.6618" Properties=species:S:1:pos:R:3 pbc="T T T"
Mo -1.3973 2.9587 -0.9772
Mo -1.0069 0.4406 -1.8082
Mn -1.2547 0.9268 0.9245
Mn -3.7122 3.5531 0.4567
Ir -1.6455 3.4449 1.7557
Ir -3.3215 1.0351 -0.3744
```

Model x:
A plane-wave DFT calculation with PBE-GGA was carried out for a geometry-optimized MnMoIr structure.

Volume = 43.5 Å³ per cell
Magnetization = 3.13 μB/cell

Geometry as extended XYZ:
```
3
Lattice="4.9632 -0.0261 0.0000 3.0115 3.9453 0.0000 -3.9873 -1.9596 2.2125" Properties=species:S:1:pos:R:3 pbc="T T T"
Ir 7.9451 3.9047 0.0000
Mn 2.6443 1.2996 0.0000
Mo 5.3599 2.6342 0.0000
```

Model y:
A plane-wave DFT calculation with PBE-GGA was carried out for a geometry-optimized MnMoIr structure.

Volume = 41.6 Å³ per cell
Magnetization = 0.40 μB/cell

Geometry as extended XYZ:
```
3
Lattice="4.2287 0.0000 0.0000 -2.1143 3.6621 0.0000 0.0000 0.0000 2.6858" Properties=species:S:1:pos:R:3 pbc="T T T"
Ir 0.0000 0.0000 2.6857
Mn 2.1143 1.2207 1.3425
Mo 0.0000 2.4414 1.3433
```

Model z:
A plane-wave DFT calculation with PBE-GGA was carried out for a geometry-optimized MnMoIr structure.

Volume = 43.3 Å³ per cell
Magnetization = 2.40 μB/cell

Geometry as extended XYZ:
```
3
Lattice="-2.6427 0.1255 0.6989 0.8880 -2.0028 -1.6397 1.2281 -3.8187 5.3296" Properties=species:S:1:pos:R:3 pbc="T T T"
Ir 0.0074 -0.0230 0.0321
Mn 0.1150 -2.5494 0.8929
Mo -0.6491 -3.1236 3.4639
```

Which of them is the most stable, and which is the least stable? model w and model z, in that order.